Record 1
First-principles (PBE-GGA) data for La2Dy6Tm3 after structural relaxation, as listed in Alexandria.

Lattice parameters (Å, degrees): 6.1420 6.0710 11.7398 85.61 81.30 59.61
Closest atoms and distances in Å follow each position.
Fractional positions:
Tm 0.0000 0.0000 0.0000  6 Dy 3.46-3.50, 6 Tm 3.51-3.52
Dy 0.9279 0.6661 0.2415  3 Tm 3.46-3.47, 6 Dy 3.49-3.54, 2 La 3.57-3.61
Dy 0.2610 0.0000 0.2454  3 Tm 3.49-3.50, 6 Dy 3.49-3.54, 2 La 3.66
Dy 0.5941 0.3339 0.2415  3 Tm 3.46-3.47, 6 Dy 3.49-3.54, 2 La 3.57-3.61
Dy 0.4059 0.6661 0.7585  3 Tm 3.46-3.47, 6 Dy 3.49-3.54, 2 La 3.57-3.61
Tm 0.6652 0.6696 0.0000  6 Tm 3.46-3.55, 6 Dy 3.46-3.49
Dy 0.7390 0.0000 0.7546  3 Tm 3.49-3.50, 6 Dy 3.49-3.54, 2 La 3.66
Tm 0.3348 0.3304 0.0000  6 Tm 3.46-3.55, 6 Dy 3.46-3.49
La 0.1749 0.6501 0.5000  3 La 3.45-3.66, 6 Dy 3.57-3.66
La 0.8251 0.3499 0.5000  3 La 3.45-3.66, 6 Dy 3.57-3.66
Dy 0.0721 0.3339 0.7585  3 Tm 3.46-3.47, 6 Dy 3.49-3.54, 2 La 3.57-3.61

Results
energy	-0.163	Ha/atom
total moment	0.00	μB/cell
energy of formation	0.18	eV per atom

***

Record 2
First-principles (PBE-GGA) data for LiAgCl2 after structural relaxation, as listed in Alexandria.

Lattice parameters (Å, degrees): 3.7390 7.1590 3.6040 90.00 90.00 90.00
Closest atoms and distances in Å follow each position.
Fractional positions:
Ag 0.0000 0.5000 0.5000  4 Cl 2.60
Li 0.5000 0.0000 0.5000  4 Cl 2.60
Cl 0.5000 0.5000 0.0000  4 Ag 2.60
Cl 0.0000 0.0000 0.0000  4 Li 2.60

Results
formation energy without anion corrections	-0.99	eV/atom
energy	-0.114	Ha/atom
total moment	0.00	μB/cell

***

Record 3
First-principles (PBE-GGA) data for TaHgPb after structural relaxation, as listed in Alexandria.

Lattice parameters (Å, degrees): 4.8159 4.8159 4.8159 60.00 60.00 60.00
Closest atoms and distances in Å follow each position.
Fractional positions:
Hg 0.0000 0.0000 0.0000  4 Ta 2.95
Pb 0.5000 0.5000 0.5000  4 Ta 2.95
Ta 0.7500 0.7500 0.7500  4 Hg 2.95, 4 Pb 2.95

Results
energy above the most stable polymorph in this dataset	388	meV per atom
energy	-0.162	Ha/atom
total moment	0.99	μB/cell
energy of formation	0.87	eV per atom

***

Record 4
First-principles (PBE-GGA) data for Sc5OsPd4 after structural relaxation, as listed in Alexandria.

Lattice parameters (Å, degrees): 3.2629 3.2629 16.7135 90.00 90.00 90.00
Closest atoms and distances in Å follow each position.
Fractional positions:
Pd 0.0000 0.0000 0.3978  8 Sc 2.86-2.87
Sc 0.5000 0.5000 0.5000  8 Pd 2.87
Pd 0.0000 0.0000 0.1983  8 Sc 2.83-2.90
Sc 0.5000 0.5000 0.2963  8 Pd 2.83-2.86
Sc 0.5000 0.5000 0.0927  4 Os 2.78, 4 Pd 2.90, 1 Sc 3.10
Pd 0.0000 0.0000 0.6022  8 Sc 2.86-2.87
Os 0.0000 0.0000 0.0000  8 Sc 2.78
Pd 0.0000 0.0000 0.8017  8 Sc 2.83-2.90
Sc 0.5000 0.5000 0.7037  8 Pd 2.83-2.86
Sc 0.5000 0.5000 0.9073  4 Os 2.78, 4 Pd 2.90, 1 Sc 3.10

Results
energy	-0.265	Ha/atom
total moment	0.00	μB/cell
energy of formation	-0.84	eV per atom

***

Record 5
First-principles (PBE-GGA) data for CaPa2OsN5 after structural relaxation, as listed in Alexandria.

Lattice parameters (Å, degrees): 6.6011 6.6011 7.4852 116.16 116.16 90.00
Closest atoms and distances in Å follow each position.
Fractional positions:
N 0.5000 0.5000 0.0000  4 Pa 2.41
Pa 0.3160 0.8160 0.0000  4 N 2.22-2.41
N 0.4871 0.2698 0.2569  1 Os 1.94
N 0.0129 0.5129 0.7431  1 Os 1.94
Pa 0.1840 0.3160 0.0000  4 N 2.22-2.41
Os 0.2500 0.7500 0.5000  4 N 1.94
N 0.5129 0.7302 0.7431  1 Os 1.94
N 0.2302 0.0129 0.7431  1 Os 1.94
Os 0.7500 0.2500 0.5000  4 N 1.94
N 0.2698 0.7698 0.2569  1 Os 1.94
Ca 0.2500 0.2500 0.5000  10 N 2.92-2.93
N 0.9871 0.4871 0.2569  1 Os 1.94
N 0.0000 0.0000 0.0000  4 Pa 2.41
Pa 0.8160 0.6840 0.0000  4 N 2.22-2.41
N 0.7302 0.2302 0.7431  1 Os 1.94
N 0.7698 0.9871 0.2569  1 Os 1.94
Pa 0.6840 0.1840 0.0000  4 N 2.22-2.41
Ca 0.7500 0.7500 0.5000  10 N 2.92-2.93

Results
formation energy without anion corrections	-0.99	eV/atom
energy	-0.338	Ha/atom
total moment	0.00	μB/cell

***

Record 6
First-principles (PBE-GGA) data for Cs3La2YS6 after structural relaxation, as listed in Alexandria.

Lattice parameters (Å, degrees): 7.3979 7.3979 8.4421 98.40 98.40 120.00
Closest atoms and distances in Å follow each position.
Fractional positions:
S 0.3835 0.0616 0.1847  1 Y 2.81, 2 La 2.92
La 0.3334 0.6666 0.0000  6 S 2.92
Cs 0.1675 0.8325 0.5000  6 S 3.52-3.60
Y 0.0000 0.0000 0.0000  6 S 2.81
S 0.2601 0.2601 0.8148  1 Y 2.81, 2 La 2.92
Cs 0.8325 0.1675 0.5000  6 S 3.52-3.60
S 0.7399 0.7399 0.1852  1 Y 2.81, 2 La 2.92
S 0.0616 0.3835 0.1847  1 Y 2.81, 2 La 2.92
La 0.6666 0.3334 0.0000  6 S 2.92
S 0.6165 0.9384 0.8153  1 Y 2.81, 2 La 2.92
S 0.9384 0.6165 0.8153  1 Y 2.81, 2 La 2.92
Cs 0.5000 0.5000 0.5000  6 S 3.52-3.60

Results
formation energy without anion corrections	-1.87	eV/atom
energy	-0.202	Ha/atom
total moment	0.00	μB/cell

***

Record 7
First-principles (PBE-GGA) data for Ho2ZnTe2S2O14 after structural relaxation, as listed in Alexandria.

Lattice parameters (Å, degrees): 5.2953 7.8953 8.1623 115.97 106.37 85.52
Closest atoms and distances in Å follow each position.
Fractional positions:
S 0.2421 0.7548 0.7530  4 O 1.48-1.51
O 0.7225 0.8043 0.2457  1 Te 1.90
O 0.2436 0.5608 0.1043  1 Te 1.91
O 0.8565 0.2302 0.4286  1 S 1.48
Ho 0.9196 0.7471 0.0167  7 O 2.25-2.50
Te 0.5191 0.2732 0.6633  3 O 1.90-1.92
O 0.8216 0.0738 0.0871  1 S 1.51
Ho 0.0804 0.2529 0.9833  7 O 2.25-2.50
O 0.7564 0.4392 0.8957  1 Te 1.91
O 0.2478 0.9247 0.3304  1 Te 1.92, 1 Zn 2.04
O 0.2775 0.1957 0.7543  1 Te 1.90
O 0.5305 0.7312 0.7901  1 S 1.48
Zn 0.0000 0.0000 0.5000  6 O 2.04-2.16
O 0.8935 0.4053 0.2508  1 S 1.49
S 0.7579 0.2452 0.2470  4 O 1.48-1.51
O 0.1784 0.9262 0.9129  1 S 1.51
Te 0.4809 0.7268 0.3367  3 O 1.90-1.92
O 0.4695 0.2688 0.2099  1 S 1.48
O 0.7522 0.0753 0.6696  1 Te 1.92, 1 Zn 2.04
O 0.1435 0.7698 0.5714  1 S 1.48
O 0.1065 0.5947 0.7492  1 S 1.49

Results
formation energy without anion corrections	-1.91	eV/atom
energy	-0.235	Ha/atom
total moment	0.00	μB/cell

***

Record 8
First-principles (PBE-GGA) data for Dy2HoTe4 after structural relaxation, as listed in Alexandria.

Lattice parameters (Å, degrees): 4.2242 7.4575 14.9376 90.00 90.00 106.45
Closest atoms and distances in Å follow each position.
Fractional positions:
Te 0.5000 0.0000 0.5000  4 Dy 3.01
Te 0.2206 0.4412 0.6226  3 Dy 3.09-3.14, 2 Ho 3.13
Te 0.2206 0.4412 0.8774  3 Dy 3.09-3.14, 2 Ho 3.13
Dy 0.8687 0.7375 0.9303  6 Te 3.01-3.14
Te 0.0293 0.0587 0.2500  2 Dy 3.06, 2 Ho 3.09
Ho 0.6285 0.2569 0.7500  6 Te 3.09-3.13
Te 0.5000 0.0000 0.0000  4 Dy 3.01
Te 0.7794 0.5588 0.1226  3 Dy 3.09-3.14, 2 Ho 3.13
Te 0.7794 0.5588 0.3774  3 Dy 3.09-3.14, 2 Ho 3.13
Dy 0.1313 0.2625 0.0697  6 Te 3.01-3.14
Ho 0.3715 0.7431 0.2500  6 Te 3.09-3.13
Dy 0.8687 0.7375 0.5697  6 Te 3.01-3.14
Te 0.9707 0.9413 0.7500  2 Dy 3.06, 2 Ho 3.09
Dy 0.1313 0.2625 0.4303  6 Te 3.01-3.14

Results
formation energy without anion corrections	-1.33	eV/atom
energy above the most stable polymorph in this dataset	46	meV per atom
energy	-0.187	Ha/atom
total moment	0.00	μB/cell

***

Record 9
First-principles (PBE-GGA) data for LiZn2Sb after structural relaxation, as listed in Alexandria.

Lattice parameters (Å, degrees): 4.0807 3.2089 5.8339 82.75 90.00 90.00
Closest atoms and distances in Å follow each position.
Fractional positions:
Zn 0.5000 0.1952 0.2240  4 Zn 2.74-2.82, 1 Sb 2.89, 2 Li 2.93
Sb 0.5000 0.0011 0.7211  4 Zn 2.85-3.08, 4 Li 2.88-2.89
Zn 0.0000 0.7542 0.0525  1 Li 2.62, 4 Zn 2.74-2.82, 2 Sb 2.85
Li 0.0000 0.5495 0.5024  3 Zn 2.62-2.93, 4 Sb 2.88-2.89

Results
formation energy without anion corrections	-0.10	eV/atom
energy	-0.083	Ha/atom
total moment	0.00	μB/cell

***

Record 10
First-principles (PBE-GGA) data for LaZrSb2Pd2 after structural relaxation, as listed in Alexandria.

Lattice parameters (Å, degrees): 4.6217 4.6217 7.3995 90.00 90.00 120.00
Closest atoms and distances in Å follow each position.
Fractional positions:
Pd 0.3333 0.6667 0.3375  4 Sb 2.73-2.97, 3 Zr 2.93
Sb 0.6667 0.3333 0.2613  4 Pd 2.73-2.97
Sb 0.3333 0.6667 0.7387  4 Pd 2.73-2.97
Zr 0.0000 0.0000 0.5000  6 Pd 2.93, 6 Sb 3.20
Pd 0.6667 0.3333 0.6625  4 Sb 2.73-2.97, 3 Zr 2.93
La 0.0000 0.0000 0.0000  6 Sb 3.30, 6 Pd 3.65

Results
formation energy without anion corrections	-0.93	eV/atom
energy	-0.231	Ha/atom
total moment	0.00	μB/cell